Computed, not measured: Ce2Al4CdCu3 after structural relaxation at the PBE level of DFT.

* E: -4.32 eV/atom

a = 4.2539 Å, b = 4.2539 Å, c = 10.4978 Å
α = 90.00°, β = 90.00°, γ = 90.00°
With the nearest neighbours (Å) after each atom.
Atoms (fractional coordinates):
Ce: 0.5000 0.0000 0.2404  8 Al 3.22-3.30, 6 Cu 3.25-3.46, 2 Cd 3.46
Ce: 0.0000 0.5000 0.7596  8 Al 3.22-3.30, 6 Cu 3.25-3.46, 2 Cd 3.46
Al: 0.5000 0.5000 0.0000  4 Cu 2.49
Al: 0.0000 0.0000 0.0000  4 Cu 2.49
Al: 0.5000 0.0000 0.6492  3 Cu 2.39-2.64, 2 Cd 2.64
Al: 0.0000 0.5000 0.3508  3 Cu 2.39-2.64, 2 Cd 2.64
Cd: 0.5000 0.5000 0.5000  4 Al 2.64
Cu: 0.0000 0.0000 0.5000  4 Al 2.64
Cu: 0.5000 0.0000 0.8768  5 Al 2.39-2.49
Cu: 0.0000 0.5000 0.1232  5 Al 2.39-2.49



Computed, not measured: LiSm5Se6 after structural relaxation at the PBE level of DFT.

* E: -5.66 eV/atom
* raw formation energy: -1.789 eV per atom

a = 7.1874 Å, b = 7.1681 Å, c = 7.1702 Å
α = 60.01°, β = 80.38°, γ = 70.46°
With the nearest neighbours (Å) after each atom.
Atoms (fractional coordinates):
Se: 0.7569 0.0803 0.3225  1 Li 2.83, 5 Sm 2.92-3.01
Se: 0.2431 0.5973 0.3225  1 Li 2.83, 5 Sm 2.92-3.01
Se: 0.2422 0.2396 0.0000  1 Li 2.82, 5 Sm 2.92-3.04
Se: 0.7578 0.7604 0.0000  1 Li 2.82, 5 Sm 2.92-3.04
Se: 0.7569 0.4027 0.6775  1 Li 2.83, 5 Sm 2.92-3.01
Se: 0.2431 0.9197 0.6775  1 Li 2.83, 5 Sm 2.92-3.01
Sm: 0.5000 0.1678 0.6645  6 Se 2.92-3.01
Sm: 0.0000 0.3349 0.3301  6 Se 2.92-2.95
Sm: 0.5000 0.5000 0.0000  6 Se 2.93-3.04
Sm: 0.0000 0.6651 0.6699  6 Se 2.92-2.95
Sm: 0.5000 0.8322 0.3355  6 Se 2.92-3.01
Li: 0.0000 0.0000 0.0000  6 Se 2.82-2.83



Computed, not measured: LiPrEuMg after structural relaxation at the PBE level of DFT.

* E: -4.62 eV/atom

a = 5.5892 Å, b = 5.5892 Å, c = 5.5892 Å
α = 60.00°, β = 60.00°, γ = 60.00°
With the nearest neighbours (Å) after each atom.
Atoms (fractional coordinates):
Eu: 0.7500 0.7500 0.7500  4 Li 3.42, 4 Mg 3.42
Pr: 0.2500 0.2500 0.2500  4 Li 3.42, 4 Mg 3.42
Mg: 0.5000 0.5000 0.5000  4 Pr 3.42, 4 Eu 3.42
Li: 0.0000 0.0000 0.0000  4 Pr 3.42, 4 Eu 3.42



Computed, not measured: RbGaSn after structural relaxation at the PBE level of DFT.

* E: -2.82 eV/atom

a = 4.8076 Å, b = 4.6883 Å, c = 9.0562 Å
α = 90.00°, β = 90.00°, γ = 90.00°
With the nearest neighbours (Å) after each atom.
Atoms (fractional coordinates):
Ga: 0.5000 0.5000 0.6825  2 Ga 2.92, 2 Sn 3.02
Ga: 0.5000 0.0000 0.8745  2 Ga 2.92, 2 Sn 2.94
Sn: 0.0000 0.5000 0.4814  2 Sn 2.99, 2 Ga 3.02
Sn: 0.0000 0.0000 0.6869  2 Ga 2.94, 2 Sn 2.99
Rb: 0.0000 0.5000 0.0132  6 Ga 3.58-3.84, 2 Sn 3.77
Rb: 0.5000 0.0000 0.3291  6 Sn 3.63-4.03, 2 Ga 3.97



| no. | total magnetization (μB/f.u.) | theoretical density (Mg/m³) |
| --- | --- | --- |
| 1 | 1.0 | 6.0 |
| 2 | 0.0 | 6.8 |
| 3 | 7.7 | 4.4 |
| 4 | 0.0 | 4.5 |